1.
Density functional theory data (PBE-GGA) for a relaxed structure of KDyFeTe3.

Summary:
**DFT total energy**: -4.6982 eV per atom
**Total moment**: 3.96 μB/f.u.
**ΔE to the lowest computed polymorph**: 88 meV per atom
**V**: 769.4 Å³ per cell

Unit cell a=10.526 b=4.469 c=16.355 alpha=90.00 beta=90.00 gamma=90.00
Element x y z (fractional)
K1 0.053 0.250 0.180
K2 0.447 0.750 0.680
K3 0.553 0.250 0.320
K4 0.947 0.750 0.820
Dy1 0.171 0.750 0.445
Dy2 0.329 0.250 0.945
Dy3 0.671 0.750 0.055
Dy4 0.829 0.250 0.555
Fe1 0.151 0.250 0.628
Fe2 0.349 0.750 0.128
Fe3 0.651 0.250 0.872
Fe4 0.849 0.750 0.372
Te1 0.018 0.750 0.609
Te2 0.165 0.750 0.020
Te3 0.210 0.250 0.779
Te4 0.290 0.750 0.279
Te5 0.335 0.250 0.520
Te6 0.482 0.250 0.109
Te7 0.518 0.750 0.891
Te8 0.665 0.750 0.480
Te9 0.710 0.250 0.721
Te10 0.790 0.750 0.221
Te11 0.835 0.250 0.980
Te12 0.982 0.250 0.391

=====

2.
Density functional theory data (PBE-GGA) for a relaxed structure of GdBeSn.

Summary:
**DFT total energy**: -3.9908 eV per atom
**Total moment**: 0.00 μB/f.u.
**V**: 74.2 Å³ per cell

Unit cell a=4.716 b=4.716 c=4.716 alpha=60.00 beta=60.00 gamma=60.00
Element x y z (fractional)
Gd1 0.000 0.000 0.000
Be1 0.500 0.500 0.500
Sn1 0.750 0.750 0.750

=====

3.
Density functional theory data (PBE-GGA) for a relaxed structure of SrLaAgSe3.

Summary:
**DFT total energy**: -4.8692 eV per atom
**Total moment**: 0.00 μB/f.u.
**V**: 338.2 Å³ per cell

Unit cell a=8.153 b=4.256 c=10.077 alpha=90.00 beta=104.69 gamma=90.00
Element x y z (fractional)
Sr1 0.246 0.250 0.204
Sr2 0.754 0.750 0.796
La1 0.204 0.750 0.655
La2 0.796 0.250 0.345
Ag1 0.413 0.250 0.912
Ag2 0.587 0.750 0.088
Se1 0.062 0.750 0.348
Se2 0.224 0.750 0.961
Se3 0.462 0.250 0.660
Se4 0.538 0.750 0.340
Se5 0.776 0.250 0.039
Se6 0.938 0.250 0.652

=====

4.
Density functional theory data (PBE-GGA) for a relaxed structure of Y4ErHg5.

Summary:
**DFT total energy**: -3.6973 eV per atom
**ΔH_f (0 K)**: -0.506 eV/atom
**Total moment**: 0.02 μB/f.u.
**V**: 254.9 Å³ per cell

Unit cell a=3.705 b=3.705 c=18.564 alpha=90.00 beta=90.00 gamma=90.00
Element x y z (fractional)
Y1 0.000 0.000 0.101
Y2 0.000 0.000 0.301
Y3 0.000 0.000 0.699
Y4 0.000 0.000 0.899
Er1 0.000 0.000 0.500
Hg1 0.500 0.500 0.000
Hg2 0.500 0.500 0.201
Hg3 0.500 0.500 0.403
Hg4 0.500 0.500 0.597
Hg5 0.500 0.500 0.799

=====

5.
Density functional theory data (PBE-GGA) for a relaxed structure of DyAs2.

Summary:
**DFT total energy**: -4.0304 eV per atom
**Total moment**: 2.21 μB/f.u.
**V**: 509.4 Å³ per cell

Unit cell a=8.964 b=8.964 c=8.964 alpha=60.00 beta=60.00 gamma=60.00
Element x y z (fractional)
Dy1 0.125 0.125 0.125
Dy2 0.875 0.875 0.875
As1 0.000 0.000 0.000
As2 0.000 0.000 0.500
As3 0.000 0.500 0.000
As4 0.500 0.000 0.000

=====

6.
Density functional theory data (PBE-GGA) for a relaxed structure of Li2Mg2ZnGeIr2.

Summary:
**DFT total energy**: -4.2181 eV per atom
**Total moment**: 0.00 μB/f.u.
**V**: 117.6 Å³ per cell

Unit cell a=4.371 b=4.371 c=6.155 alpha=90.00 beta=90.00 gamma=90.00
Element x y z (fractional)
Li1 0.000 0.500 0.247
Li2 0.500 0.000 0.753
Mg1 0.000 0.000 0.000
Mg2 0.500 0.500 0.500
Zn1 0.500 0.500 0.000
Ge1 0.000 0.000 0.500
Ir1 0.000 0.500 0.736
Ir2 0.500 0.000 0.264

=====

7.
Density functional theory data (PBE-GGA) for a relaxed structure of Dy2AlCoSi.

Summary:
**DFT total energy**: -5.6285 eV per atom
**Total moment**: 0.00 μB/f.u.
**V**: 96.0 Å³ per cell

Unit cell a=5.503 b=5.503 c=5.503 alpha=136.76 beta=76.53 gamma=120.29
Element x y z (fractional)
Dy1 0.203 0.000 0.203
Dy2 0.797 0.000 0.797
Al1 0.513 0.513 0.000
Co1 0.784 0.284 0.500
Si1 0.221 0.721 0.500

=====

8.
Density functional theory data (PBE-GGA) for a relaxed structure of PIrAuO.

Summary:
**DFT total energy**: -5.1155 eV per atom
**Total moment**: 0.02 μB/f.u.
**ΔE to the lowest computed polymorph**: 749 meV per atom
**V**: 112.9 Å³ per cell

Unit cell a=3.710 b=3.710 c=8.205 alpha=90.00 beta=90.00 gamma=90.00
Element x y z (fractional)
P1 0.250 0.250 0.249
P2 0.750 0.750 0.751
Ir1 0.250 0.250 0.648
Ir2 0.750 0.750 0.352
Au1 0.250 0.750 0.000
Au2 0.750 0.250 0.000
O1 0.250 0.750 0.500
O2 0.750 0.250 0.500